Record 1
Density functional theory data (PBE) for a relaxed DyTl2CuCl6 crystal.

a b c (Å): 7.764 7.764 6.529
angles (deg): 108.50 108.50 54.17
Positions (direct):
Dy1 0.000 0.000 0.000
Tl1 0.263 0.263 0.801
Tl2 0.737 0.737 0.199
Cu1 0.500 0.500 0.500
Cl1 0.193 0.193 0.279
Cl2 0.200 0.676 0.219
Cl3 0.324 0.800 0.781
Cl4 0.676 0.200 0.219
Cl5 0.800 0.324 0.781
Cl6 0.807 0.807 0.721

Computed properties:
Space-group type: No. 12

***

Record 2
Density functional theory data (PBE) for a relaxed KEr2CuCl8 crystal.

a b c (Å): 7.072 7.927 8.018
angles (deg): 80.99 88.08 64.63
Positions (direct):
K1 0.000 0.000 0.000
Er1 0.034 0.475 0.257
Er2 0.966 0.525 0.743
Cu1 0.000 0.000 0.500
Cl1 0.151 0.767 0.698
Cl2 0.223 0.290 0.001
Cl3 0.230 0.289 0.553
Cl4 0.270 0.638 0.228
Cl5 0.730 0.362 0.772
Cl6 0.770 0.711 0.447
Cl7 0.777 0.710 0.999
Cl8 0.849 0.233 0.302

Computed properties:
Space-group type: No. 2

***

Record 3
Density functional theory data (PBE) for a relaxed NaErCuCl5 crystal.

a b c (Å): 7.125 7.125 9.682
angles (deg): 103.03 103.03 109.61
Positions (direct):
Na1 0.127 0.873 0.750
Na2 0.873 0.127 0.250
Er1 0.500 0.500 0.000
Er2 0.500 0.500 0.500
Cu1 0.193 0.807 0.250
Cu2 0.807 0.193 0.750
Cl1 0.107 0.241 0.938
Cl2 0.168 0.550 0.364
Cl3 0.241 0.107 0.438
Cl4 0.405 0.595 0.750
Cl5 0.450 0.832 0.136
Cl6 0.550 0.168 0.864
Cl7 0.595 0.405 0.250
Cl8 0.759 0.893 0.562
Cl9 0.832 0.450 0.636
Cl10 0.893 0.759 0.062

Computed properties:
Space-group type: No. 15

***

Record 4
Density functional theory data (PBE) for a relaxed RbErCu2Cl8 crystal.

a b c (Å): 6.168 6.168 10.097
angles (deg): 90.44 90.44 74.62
Positions (direct):
Rb1 0.000 0.000 0.000
Er1 0.000 0.000 0.500
Cu1 0.363 0.363 0.289
Cu2 0.637 0.637 0.711
Cl1 0.216 0.754 0.303
Cl2 0.246 0.784 0.697
Cl3 0.268 0.268 0.490
Cl4 0.329 0.329 0.076
Cl5 0.671 0.671 0.924
Cl6 0.732 0.732 0.510
Cl7 0.754 0.216 0.303
Cl8 0.784 0.246 0.697

Computed properties:
Space-group type: No. 12

***

Record 5
Density functional theory data (PBE) for a relaxed RbErCuCl6 crystal.

a b c (Å): 6.529 6.537 7.368
angles (deg): 93.24 93.35 114.04
Positions (direct):
Rb1 0.000 0.000 0.000
Er1 0.348 0.653 0.500
Cu1 0.695 0.306 0.500
Cl1 0.023 0.340 0.664
Cl2 0.040 0.605 0.254
Cl3 0.396 0.959 0.748
Cl4 0.431 0.343 0.299
Cl5 0.659 0.570 0.700
Cl6 0.660 0.978 0.336

Computed properties:
Space-group type: No. 1

***

Record 6
Density functional theory data (PBE) for a relaxed Er4CuSe2Cl crystal.

a b c (Å): 7.052 3.870 7.084
angles (deg): 90.00 107.74 90.00
Positions (direct):
Er1 0.229 0.000 0.232
Er2 0.232 0.500 0.752
Er3 0.768 0.500 0.248
Er4 0.771 0.000 0.768
Cu1 0.000 0.500 0.000
Se1 0.000 0.000 0.500
Se2 0.500 0.500 0.500
Cl1 0.500 0.000 0.000

Computed properties:
Space-group type: No. 10

***

Record 7
Density functional theory data (PBE) for a relaxed ErTl2CuCl6 crystal.

a b c (Å): 6.987 7.090 13.003
angles (deg): 90.00 121.64 90.00
Positions (direct):
Er1 0.000 0.000 0.000
Er2 0.000 0.500 0.500
Tl1 0.267 0.041 0.752
Tl2 0.267 0.459 0.252
Tl3 0.733 0.541 0.748
Tl4 0.733 0.959 0.248
Cu1 0.500 0.000 0.500
Cu2 0.500 0.500 0.000
Cl1 0.180 0.003 0.235
Cl2 0.180 0.497 0.735
Cl3 0.233 0.694 0.023
Cl4 0.233 0.806 0.523
Cl5 0.332 0.211 0.026
Cl6 0.332 0.289 0.526
Cl7 0.668 0.711 0.474
Cl8 0.668 0.789 0.974
Cl9 0.767 0.194 0.477
Cl10 0.767 0.306 0.977
Cl11 0.820 0.503 0.265
Cl12 0.820 0.997 0.765

Computed properties:
Space-group type: No. 14

***

Record 8
Density functional theory data (PBE) for a relaxed ErTlCuCl5 crystal.

a b c (Å): 7.369 7.369 9.945
angles (deg): 103.79 103.79 106.63
Positions (direct):
Er1 0.000 0.000 0.000
Er2 0.000 0.000 0.500
Tl1 0.350 0.650 0.750
Tl2 0.650 0.350 0.250
Cu1 0.307 0.693 0.250
Cu2 0.693 0.307 0.750
Cl1 0.074 0.926 0.750
Cl2 0.099 0.694 0.392
Cl3 0.239 0.375 0.078
Cl4 0.306 0.901 0.108
Cl5 0.375 0.239 0.578
Cl6 0.625 0.761 0.422
Cl7 0.694 0.099 0.892
Cl8 0.761 0.625 0.922
Cl9 0.901 0.306 0.608
Cl10 0.926 0.074 0.250

Computed properties:
Space-group type: No. 15

***

Record 9
Density functional theory data (PBE) for a relaxed Eu2CuCl crystal.

a b c (Å): 4.156 4.156 22.900
angles (deg): 90.00 90.00 120.00
Positions (direct):
Eu1 0.000 0.000 0.243
Eu2 0.000 0.000 0.757
Eu3 0.333 0.667 0.424
Eu4 0.333 0.667 0.909
Eu5 0.667 0.333 0.091
Eu6 0.667 0.333 0.576
Cu1 0.000 0.000 0.500
Cu2 0.333 0.667 0.167
Cu3 0.667 0.333 0.833
Cl1 0.000 0.000 0.000
Cl2 0.333 0.667 0.667
Cl3 0.667 0.333 0.333

Computed properties:
Space-group type: No. 166
Distance to the lowest polymorph of the same formula: 0.000 eV/f.u.

***

Record 10
Density functional theory data (PBE) for a relaxed Eu2CuCl crystal.

a b c (Å): 3.607 3.607 7.960
angles (deg): 90.00 90.00 90.00
Positions (direct):
Eu1 0.000 0.000 0.228
Eu2 0.000 0.000 0.772
Cu1 0.500 0.500 0.000
Cl1 0.500 0.500 0.500

Computed properties:
Space-group type: No. 123
Distance to the lowest polymorph of the same formula: 0.311 eV/f.u.

***

Record 11
Density functional theory data (PBE) for a relaxed Eu3Cu5Cl12 crystal.

a b c (Å): 13.386 13.386 13.386
angles (deg): 109.47 109.47 109.47
Positions (direct):
Eu1 0.125 0.250 0.375
Eu2 0.125 0.375 0.750
Eu3 0.250 0.375 0.125
Eu4 0.250 0.875 0.625
Eu5 0.375 0.125 0.250
Eu6 0.375 0.750 0.125
Eu7 0.625 0.250 0.875
Eu8 0.625 0.875 0.750
Eu9 0.750 0.125 0.375
Eu10 0.750 0.625 0.875
Eu11 0.875 0.625 0.250
Eu12 0.875 0.750 0.625
Cu1 0.000 0.000 0.000
Cu2 0.000 0.000 0.500
Cu3 0.000 0.500 0.000
Cu4 0.000 0.500 0.500
Cu5 0.125 0.750 0.875
Cu6 0.125 0.875 0.250
Cu7 0.250 0.125 0.875
Cu8 0.250 0.625 0.375
Cu9 0.375 0.250 0.625
Cu10 0.375 0.625 0.750
Cu11 0.500 0.000 0.000
Cu12 0.500 0.000 0.500
Cu13 0.500 0.500 0.000
Cu14 0.500 0.500 0.500
Cu15 0.625 0.375 0.250
Cu16 0.625 0.750 0.375
Cu17 0.750 0.375 0.625
Cu18 0.750 0.875 0.125
Cu19 0.875 0.125 0.750
Cu20 0.875 0.250 0.125
Cl1 0.030 0.210 0.121
Cl2 0.030 0.320 0.909
Cl3 0.088 0.710 0.680
Cl4 0.088 0.879 0.409
Cl5 0.091 0.621 0.412
Cl6 0.091 0.970 0.680
Cl7 0.121 0.030 0.210
Cl8 0.121 0.591 0.912
Cl9 0.180 0.210 0.588
Cl10 0.180 0.470 0.591
Cl11 0.210 0.121 0.030
Cl12 0.210 0.588 0.180
Cl13 0.290 0.320 0.912
Cl14 0.290 0.470 0.379
Cl15 0.320 0.909 0.030
Cl16 0.320 0.912 0.290
Cl17 0.379 0.290 0.470
Cl18 0.379 0.588 0.909
Cl19 0.409 0.088 0.879
Cl20 0.409 0.820 0.530
Cl21 0.412 0.091 0.621
Cl22 0.412 0.820 0.790
Cl23 0.470 0.379 0.290
Cl24 0.470 0.591 0.180
Cl25 0.530 0.409 0.820
Cl26 0.530 0.621 0.710
Cl27 0.588 0.180 0.210
Cl28 0.588 0.909 0.379
Cl29 0.591 0.180 0.470
Cl30 0.591 0.912 0.121
Cl31 0.621 0.412 0.091
Cl32 0.621 0.710 0.530
Cl33 0.680 0.088 0.710
Cl34 0.680 0.091 0.970
Cl35 0.710 0.530 0.621
Cl36 0.710 0.680 0.088
Cl37 0.790 0.412 0.820
Cl38 0.790 0.879 0.970
Cl39 0.820 0.530 0.409
Cl40 0.820 0.790 0.412
Cl41 0.879 0.409 0.088
Cl42 0.879 0.970 0.790
Cl43 0.909 0.030 0.320
Cl44 0.909 0.379 0.588
Cl45 0.912 0.121 0.591
Cl46 0.912 0.290 0.320
Cl47 0.970 0.680 0.091
Cl48 0.970 0.790 0.879

Computed properties:
Space-group type: No. 230

***

Record 12
Density functional theory data (PBE) for a relaxed Na2EuCuCl6 crystal.

a b c (Å): 7.312 7.312 7.312
angles (deg): 60.00 60.00 60.00
Positions (direct):
Na1 0.250 0.250 0.250
Na2 0.750 0.750 0.750
Eu1 0.000 0.000 0.000
Cu1 0.500 0.500 0.500
Cl1 0.262 0.262 0.738
Cl2 0.262 0.738 0.262
Cl3 0.262 0.738 0.738
Cl4 0.738 0.262 0.262
Cl5 0.738 0.262 0.738
Cl6 0.738 0.738 0.262

Computed properties:
Space-group type: No. 225

***

Quick rundown of uncorrected formation energy, same order as above: -31.6, -43.6, -38.6, -29.6, -37.4, -28.2, -31.8, -34.6, -19.7, -17.9, -30.5, -33.6 kcal/mol of atoms
Quick rundown of magnetization, same order as above: 0.00, 0.02, 0.02, 0.17, 0.11, 0.00, 0.00, 0.02, 3.61, 3.65, 0.99, 0.60 μB per atom
Quick rundown of electronic total energy, same order as above: -3.823, -4.314, -4.073, -3.657, -3.925, -5.116, -3.825, -4.032, -7.477, -7.399, -4.998, -4.266 eV/atom